Record 1
Computed, not measured: a relaxed structure of Ag5SnSe5 at the PBE level of DFT.

Unit cell a=5.5141 b=6.8449 c=7.7745 alpha=105.99 beta=90.00 gamma=113.75
Last column: nearest neighbours and their distance in Å.
Atoms (fractional coordinates):
Ag (0.0000, 0.0000, 0.5000)  4 Se 2.61-2.76
Ag (0.6559, 0.3118, 0.3393)  5 Se 2.76-2.95
Ag (0.6663, 0.3325, 0.8278)  5 Se 2.75-3.02
Ag (0.3337, 0.6675, 0.1722)  5 Se 2.75-3.02
Ag (0.3441, 0.6882, 0.6607)  5 Se 2.76-2.95
Se (0.8313, 0.6626, 0.6612)  5 Ag 2.75-2.79, 1 Sn 2.84
Se (0.1687, 0.3374, 0.3388)  5 Ag 2.75-2.79, 1 Sn 2.84
Se (0.8453, 0.6906, 0.1884)  3 Ag 2.61-2.76, 1 Sn 2.76
Se (0.5000, 0.0000, 0.0000)  2 Sn 2.76, 4 Ag 2.77-2.79
Se (0.1547, 0.3094, 0.8116)  3 Ag 2.61-2.76, 1 Sn 2.76
Sn (0.0000, 0.0000, 0.0000)  6 Se 2.76-2.84

* E_form (uncorrected): -0.097 eV per atom
* symmetry: No. 12

Record 2
Computed, not measured: a relaxed structure of Ac3Zr at the PBE level of DFT.

Unit cell a=5.3324 b=5.3324 c=5.3324 alpha=90.00 beta=90.00 gamma=90.00
Last column: nearest neighbours and their distance in Å.
Atoms (fractional coordinates):
Ac (0.5000, 0.5000, 0.0000)  4 Zr 3.77, 8 Ac 3.77
Ac (0.5000, 0.0000, 0.5000)  4 Zr 3.77, 8 Ac 3.77
Ac (0.0000, 0.5000, 0.5000)  4 Zr 3.77, 8 Ac 3.77
Zr (0.0000, 0.0000, 0.0000)  12 Ac 3.77

* calculated formation energy: 1.02 eV per formula unit
* excess energy over the best structure of this formula in the dataset: 0 meV per atom
* symmetry: No. 221

Number 1: V 23.28 Å³/atom. Number 2: V 37.91 Å³/atom.